VASP calculation (PBE) on a geometry-optimized ZnCuHRh2 structure.

```
ZnCuHRh2
1.0
3.9627 0.0000 0.0000
0.0000 3.9627 0.0000
0.0000 0.0000 3.6404
H Zn Rh Cu
1 1 2 1
direct
0.0000 0.0000 0.0000 H
0.5000 0.5000 0.5000 Zn
0.0000 0.5000 0.0000 Rh
0.5000 0.0000 0.0000 Rh
0.0000 0.0000 0.5000 Cu
```

Properties
energy: -24.0 eV per formula unit
E above lowest polymorph: 0 meV/atom
symmetry: P4/mmm
crystal system: tetragonal
spin magnetization: 0.0000 μB/atom